A geometry-optimized YMo2I structure, computed with PBE.

The structure in extended XYZ format:
```
4
Lattice="3.487 -2.381 2.270 2.914 2.319 3.019 -0.315 -0.790 4.718" Properties=species:S:1:pos:R:3 pbc="T T T"
I 3.043 -0.426 5.003
Mo 4.565 -0.639 7.505
Mo 1.522 -0.213 2.502
Y 0.000 0.000 0.000
```

## Properties
uncorrected energy: -6.502 eV/atom
formation energy from raw total energies: 0.9167 eV per atom
total magnetic moment: 0.000 μB per cell

***

A geometry-optimized YMo3I structure, computed with PBE.

The structure in extended XYZ format:
```
5
Lattice="4.917 0.000 0.000 0.000 4.917 0.000 0.000 0.000 4.917" Properties=species:S:1:pos:R:3 pbc="T T T"
Mo 2.459 0.000 0.000
Mo 0.000 0.000 2.459
Mo 0.000 2.459 0.000
I 0.000 0.000 0.000
Y 2.459 2.459 2.459
```

## Properties
uncorrected energy: -6.583 eV/atom
formation energy from raw total energies: 1.5186 eV per atom
total magnetic moment: 1.465 μB per cell